HgP3 | GGA-PBE | relaxed

Output
Density of states at the Fermi level = 1.62 states/eV per cell
Energy above the most stable polymorph in this dataset = 360 meV/atom
Space group = P-6m2
Final energy = -3.664 eV/atom
Energy relative to the elements = 0.47 eV per atom

a = 3.3336 Å, b = 3.3336 Å, c = 7.5218 Å
α = 90.00°, β = 90.00°, γ = 120.00°
Closest atoms and distances in Å follow each position.
Fractional coordinates of all 4 atoms:
Hg 0.0000 0.0000 0.0000  6 P 2.97
P 0.0000 0.0000 0.5000  6 P 2.44
P 0.6667 0.3333 0.3003  3 P 2.44
P 0.6667 0.3333 0.6997  3 P 2.44

HgP3 | GGA-PBE | relaxed

Output
Density of states at the Fermi level = 3.53 states/eV per cell
Energy above the most stable polymorph in this dataset = 456 meV/atom
Space group = Immm
Final energy = -3.568 eV/atom
Energy relative to the elements = 0.57 eV per atom

a = 3.2629 Å, b = 6.5305 Å, c = 7.7182 Å
α = 90.00°, β = 90.00°, γ = 90.00°
Closest atoms and distances in Å follow each position.
Fractional coordinates of all 8 atoms:
Hg 0.0000 0.0000 0.0000  4 P 2.81
Hg 0.5000 0.5000 0.5000  4 P 2.81
P 0.0000 0.0000 0.5000  4 P 2.27
P 0.0000 0.5000 0.2040  2 P 2.27
P 0.0000 0.5000 0.7960  2 P 2.27
P 0.5000 0.0000 0.2960  2 P 2.27
P 0.5000 0.0000 0.7040  2 P 2.27
P 0.5000 0.5000 0.0000  4 P 2.27

Hg5P | GGA-PBE | relaxed

Output
Density of states at the Fermi level = 3.85 states/eV per cell
Energy above the most stable polymorph in this dataset = 343 meV/atom
Space group = P6/mmm
Final energy = -0.651 eV/atom
Energy relative to the elements = 0.50 eV per atom

a = 5.6370 Å, b = 5.6370 Å, c = 5.8962 Å
α = 90.00°, β = 90.00°, γ = 120.00°
Closest atoms and distances in Å follow each position.
Fractional coordinates of all 6 atoms:
Hg 0.0000 0.5000 0.0000  4 Hg 2.82
Hg 0.3333 0.6667 0.5000  3 P 3.25, 9 Hg 3.25-3.37
Hg 0.5000 0.0000 0.0000  4 Hg 2.82
Hg 0.5000 0.5000 0.0000  4 Hg 2.82
Hg 0.6667 0.3333 0.5000  3 P 3.25, 9 Hg 3.25-3.37
P 0.0000 0.0000 0.5000  6 Hg 3.25